1.
First-principles (PBE) data for BaLi3F after structural relaxation, as listed in Alexandria via LeMat-Bulk.

Lattice parameters (Å, degrees): 4.979 4.979 4.979 90.00 90.00 90.00
Atoms (fractional coordinates):
Li 0.000 0.500 0.000
Li 0.000 0.000 0.500
Li 0.500 0.000 0.000
Ba 0.500 0.500 0.500
F 0.000 0.000 0.000

E in eV per formula unit: -12.71
Magnetic moment in μB per formula unit: 0.86
E_form (uncorrected) in eV per formula unit: -3.2
Distance to the lowest polymorph of the same formula in eV/atom: 0.000
Calculated volume in Å³/cell: 123.40



2.
First-principles (PBE) data for BaLi3F after structural relaxation, as listed in Alexandria via LeMat-Bulk.

Lattice parameters (Å, degrees): 6.885 6.885 6.885 90.00 90.00 90.00
Atoms (fractional coordinates):
Li 0.000 0.500 0.000
Li 0.000 0.000 0.500
Li 0.500 0.000 0.000
Ba 0.000 0.000 0.000
F 0.500 0.500 0.500

E in eV per formula unit: -6.98
Magnetic moment in μB per formula unit: 2.00
E_form (uncorrected) in eV per formula unit: 2.6
Distance to the lowest polymorph of the same formula in eV/atom: 1.145
Calculated volume in Å³/cell: 326.39



3.
First-principles (PBE) data for Ba2LiF2 after structural relaxation, as listed in Alexandria via LeMat-Bulk.

Lattice parameters (Å, degrees): 4.562 4.562 8.211 73.87 73.87 90.00
Atoms (fractional coordinates):
Li 0.000 0.000 0.000
Ba 0.346 0.346 0.307
Ba 0.654 0.654 0.693
F 0.750 0.250 0.500
F 0.250 0.750 0.500

E in eV per formula unit: -20.66
Magnetic moment in μB per formula unit: 0.00
E_form (uncorrected) in eV per formula unit: -11.2
Calculated volume in Å³/cell: 157.14



4.
First-principles (PBE) data for BaLi2F after structural relaxation, as listed in Alexandria via LeMat-Bulk.

Lattice parameters (Å, degrees): 6.684 6.684 6.697 60.06 60.06 90.00
Atoms (fractional coordinates):
Li 0.375 0.125 0.250
Li 0.375 0.625 0.250
Li 0.375 0.625 0.750
Li 0.875 0.625 0.750
Ba 0.000 0.000 0.000
Ba 0.750 0.250 0.500
F 0.500 0.500 0.000
F 0.250 0.750 0.500

E in eV per formula unit: -12.14
Magnetic moment in μB per formula unit: 0.46
E_form (uncorrected) in eV per formula unit: -4.5
Distance to the lowest polymorph of the same formula in eV/atom: 0.000
Calculated volume in Å³/cell: 212.00



> Number 3 is which compound?

Ba2LiF2



> Number 2 is which compound?

BaLi3F



> Which of these has the highest calculated volume?

number 2



> Look up the magnetic moment of the fourth one.

0.46 μB per formula unit